No. 1
Here is a relaxed structure of CeTmFeTc from Alexandria via LeMat-Bulk. Energies are from GGA-PBE.

The structure in CIF format:
```
data_CeTmFeTc
_chemical_formula_sum 'Ce1 Tm1 Fe1 Tc1'
_symmetry_space_group_name_H-M 'P 1'
_symmetry_Int_Tables_number 1
_cell_length_a 4.7828
_cell_length_b 4.7828
_cell_length_c 4.7828
_cell_angle_alpha 60.00
_cell_angle_beta 60.00
_cell_angle_gamma 60.00
loop_
_symmetry_equiv_pos_as_xyz
'x,y,z'
loop_
_atom_site_label
_atom_site_type_symbol
_atom_site_fract_x
_atom_site_fract_y
_atom_site_fract_z
Ce1 Ce 0.0000 0.0000 0.0000
Tm1 Tm 0.5000 0.5000 0.5000
Fe1 Fe 0.2500 0.2500 0.2500
Tc1 Tc 0.7500 0.7500 0.7500
```

Summary:
N(E_F): 5.61 states/eV per cell
energy relative to the elements: 0.0453 eV/atom
DFT total energy: -7.26 eV per atom


No. 2
Here is a relaxed structure of AlRh2Cl from Alexandria via LeMat-Bulk. Energies are from GGA-PBE.

The structure in CIF format:
```
data_AlRh2Cl
_chemical_formula_sum 'Al1 Rh2 Cl1'
_symmetry_space_group_name_H-M 'P 1'
_symmetry_Int_Tables_number 1
_cell_length_a 9.3085
_cell_length_b 9.3085
_cell_length_c 9.3085
_cell_angle_alpha 18.26
_cell_angle_beta 18.26
_cell_angle_gamma 18.26
loop_
_symmetry_equiv_pos_as_xyz
'x,y,z'
loop_
_atom_site_label
_atom_site_type_symbol
_atom_site_fract_x
_atom_site_fract_y
_atom_site_fract_z
Al1 Al 0.0000 0.0000 0.0000
Rh1 Rh 0.4766 0.4766 0.4766
Rh2 Rh 0.7319 0.7319 0.7319
Cl1 Cl 0.2713 0.2713 0.2713
```

Summary:
energy relative to the elements, uncorrected: -0.16 eV per atom
N(E_F): 2.34 states/eV per cell
DFT total energy: -5.24 eV per atom


No. 3
Here is a relaxed structure of CaMoPb2 from Alexandria via LeMat-Bulk. Energies are from GGA-PBE.

The structure in CIF format:
```
data_CaMoPb2
_chemical_formula_sum 'Ca1 Mo1 Pb2'
_symmetry_space_group_name_H-M 'P 1'
_symmetry_Int_Tables_number 1
_cell_length_a 5.8005
_cell_length_b 5.8005
_cell_length_c 5.8005
_cell_angle_alpha 141.36
_cell_angle_beta 122.18
_cell_angle_gamma 71.72
loop_
_symmetry_equiv_pos_as_xyz
'x,y,z'
loop_
_atom_site_label
_atom_site_type_symbol
_atom_site_fract_x
_atom_site_fract_y
_atom_site_fract_z
Ca1 Ca 0.0000 0.0000 0.0000
Mo1 Mo 0.5000 0.5000 0.0000
Pb1 Pb 0.2702 0.7702 0.5000
Pb2 Pb 0.7298 0.2298 0.5000
```

Summary:
N(E_F): 3.52 states/eV per cell
energy relative to the elements: 0.3341 eV/atom
DFT total energy: -4.73 eV per atom


No. 4
Here is a relaxed structure of AlCr3 from Alexandria via LeMat-Bulk. Energies are from GGA-PBE.

The structure in CIF format:
```
data_AlCr3
_chemical_formula_sum 'Al1 Cr3'
_symmetry_space_group_name_H-M 'P 1'
_symmetry_Int_Tables_number 1
_cell_length_a 4.8146
_cell_length_b 4.8146
_cell_length_c 4.8146
_cell_angle_alpha 117.05
_cell_angle_beta 117.05
_cell_angle_gamma 117.05
loop_
_symmetry_equiv_pos_as_xyz
'x,y,z'
loop_
_atom_site_label
_atom_site_type_symbol
_atom_site_fract_x
_atom_site_fract_y
_atom_site_fract_z
Al1 Al 0.0000 0.0000 0.0000
Cr1 Cr 0.0000 0.5000 0.5000
Cr2 Cr 0.5000 0.0000 0.5000
Cr3 Cr 0.5000 0.5000 0.0000
```

Summary:
N(E_F): 4.55 states/eV per cell
energy relative to the elements: 0.0318 eV/atom
DFT total energy: -8.12 eV per atom


No. 5
Here is a relaxed structure of HfCrPCl2 from Alexandria via LeMat-Bulk. Energies are from GGA-PBE.

The structure in CIF format:
```
data_HfCrPCl2
_chemical_formula_sum 'Hf1 Cr1 P1 Cl2'
_symmetry_space_group_name_H-M 'P 1'
_symmetry_Int_Tables_number 1
_cell_length_a 4.8865
_cell_length_b 4.8865
_cell_length_c 5.1573
_cell_angle_alpha 90.00
_cell_angle_beta 90.00
_cell_angle_gamma 90.00
loop_
_symmetry_equiv_pos_as_xyz
'x,y,z'
loop_
_atom_site_label
_atom_site_type_symbol
_atom_site_fract_x
_atom_site_fract_y
_atom_site_fract_z
Hf1 Hf 0.0000 0.0000 0.0000
Cr1 Cr 0.5000 0.5000 0.5000
P1 P 0.0000 0.0000 0.5000
Cl1 Cl 0.0000 0.5000 0.0000
Cl2 Cl 0.5000 0.0000 0.0000
```

Summary:
energy relative to the elements, uncorrected: -0.27 eV per atom
N(E_F): 2.24 states/eV per cell
DFT total energy: -6.00 eV per atom


No. 6
Here is a relaxed structure of Cd2NiAg from Alexandria via LeMat-Bulk. Energies are from GGA-PBE.

The structure in CIF format:
```
data_Cd2NiAg
_chemical_formula_sum 'Cd2 Ni1 Ag1'
_symmetry_space_group_name_H-M 'P 1'
_symmetry_Int_Tables_number 1
_cell_length_a 4.8749
_cell_length_b 4.8749
_cell_length_c 5.2206
_cell_angle_alpha 101.73
_cell_angle_beta 101.73
_cell_angle_gamma 35.77
loop_
_symmetry_equiv_pos_as_xyz
'x,y,z'
loop_
_atom_site_label
_atom_site_type_symbol
_atom_site_fract_x
_atom_site_fract_y
_atom_site_fract_z
Cd1 Cd 0.2390 0.2390 0.2353
Cd2 Cd 0.7610 0.7610 0.7647
Ni1 Ni 0.5000 0.5000 0.0000
Ag1 Ag 0.0000 0.0000 0.5000
```

Summary:
N(E_F): 1.82 states/eV per cell
energy relative to the elements: 0.1083 eV/atom
DFT total energy: -2.51 eV per atom


No. 7
Here is a relaxed structure of Y2TcHBr from Alexandria via LeMat-Bulk. Energies are from GGA-PBE.

The structure in CIF format:
```
data_Y2TcHBr
_chemical_formula_sum 'Y2 Tc1 H1 Br1'
_symmetry_space_group_name_H-M 'P 1'
_symmetry_Int_Tables_number 1
_cell_length_a 4.5498
_cell_length_b 4.5498
_cell_length_c 4.6286
_cell_angle_alpha 90.00
_cell_angle_beta 90.00
_cell_angle_gamma 90.00
loop_
_symmetry_equiv_pos_as_xyz
'x,y,z'
loop_
_atom_site_label
_atom_site_type_symbol
_atom_site_fract_x
_atom_site_fract_y
_atom_site_fract_z
Y1 Y 0.0000 0.5000 0.0000
Y2 Y 0.5000 0.0000 0.0000
Tc1 Tc 0.0000 0.0000 0.5000
H1 H 0.5000 0.5000 0.0000
Br1 Br 0.5000 0.5000 0.5000
```

Summary:
N(E_F): 3.55 states/eV per cell
DFT total energy: -5.45 eV per atom


No. 8
Here is a relaxed structure of LiPu2FeH6 from Alexandria via LeMat-Bulk. Energies are from GGA-PBE.

The structure in CIF format:
```
data_LiPu2FeH6
_chemical_formula_sum 'Li1 Pu2 Fe1 H6'
_symmetry_space_group_name_H-M 'P 1'
_symmetry_Int_Tables_number 1
_cell_length_a 4.9435
_cell_length_b 4.9435
_cell_length_c 4.5003
_cell_angle_alpha 90.00
_cell_angle_beta 90.00
_cell_angle_gamma 120.00
loop_
_symmetry_equiv_pos_as_xyz
'x,y,z'
loop_
_atom_site_label
_atom_site_type_symbol
_atom_site_fract_x
_atom_site_fract_y
_atom_site_fract_z
Li1 Li 0.0000 0.0000 0.0000
Pu1 Pu 0.3333 0.6667 0.2507
Pu2 Pu 0.6667 0.3333 0.7493
Fe1 Fe 0.0000 0.0000 0.5000
H1 H 0.1645 0.3290 0.7147
H2 H 0.1645 0.8355 0.7147
H3 H 0.3290 0.1645 0.2853
H4 H 0.6710 0.8355 0.7147
H5 H 0.8355 0.1645 0.2853
H6 H 0.8355 0.6710 0.2853
```

Summary:
N(E_F): 15.09 states/eV per cell
DFT total energy: -6.18 eV per atom


No. 9
Here is a relaxed structure of La2Sn5Pt3 from Alexandria via LeMat-Bulk. Energies are from GGA-PBE.

The structure in CIF format:
```
data_La2Sn5Pt3
_chemical_formula_sum 'La4 Sn10 Pt6'
_symmetry_space_group_name_H-M 'P 1'
_symmetry_Int_Tables_number 1
_cell_length_a 13.6336
_cell_length_b 13.6336
_cell_length_c 7.4707
_cell_angle_alpha 90.00
_cell_angle_beta 90.00
_cell_angle_gamma 160.34
loop_
_symmetry_equiv_pos_as_xyz
'x,y,z'
loop_
_atom_site_label
_atom_site_type_symbol
_atom_site_fract_x
_atom_site_fract_y
_atom_site_fract_z
La1 La 0.0235 0.9765 0.5000
La2 La 0.3278 0.6722 0.5205
La3 La 0.6722 0.3278 0.0205
La4 La 0.9765 0.0235 0.0000
Sn1 Sn 0.0975 0.9025 0.8678
Sn2 Sn 0.2047 0.7953 0.3213
Sn3 Sn 0.2107 0.7893 0.7411
Sn4 Sn 0.3793 0.6207 0.9965
Sn5 Sn 0.4510 0.5490 0.6634
Sn6 Sn 0.5490 0.4510 0.1634
Sn7 Sn 0.6207 0.3793 0.4965
Sn8 Sn 0.7893 0.2107 0.2411
Sn9 Sn 0.7953 0.2047 0.8213
Sn10 Sn 0.9025 0.0975 0.3678
Pt1 Pt 0.1057 0.8943 0.2417
Pt2 Pt 0.2773 0.7227 0.0387
Pt3 Pt 0.4484 0.5516 0.2840
Pt4 Pt 0.5516 0.4484 0.7840
Pt5 Pt 0.7227 0.2773 0.5387
Pt6 Pt 0.8943 0.1057 0.7417
```

Summary:
N(E_F): 5.93 states/eV per cell
energy relative to the elements: -0.8374 eV/atom
DFT total energy: -5.64 eV per atom


No. 10
Here is a relaxed structure of TbPd6Pt6 from Alexandria via LeMat-Bulk. Energies are from GGA-PBE.

The structure in CIF format:
```
data_TbPd6Pt6
_chemical_formula_sum 'Tb1 Pd6 Pt6'
_symmetry_space_group_name_H-M 'P 1'
_symmetry_Int_Tables_number 1
_cell_length_a 6.9744
_cell_length_b 6.9744
_cell_length_c 6.9744
_cell_angle_alpha 135.16
_cell_angle_beta 98.99
_cell_angle_gamma 97.74
loop_
_symmetry_equiv_pos_as_xyz
'x,y,z'
loop_
_atom_site_label
_atom_site_type_symbol
_atom_site_fract_x
_atom_site_fract_y
_atom_site_fract_z
Tb1 Tb 0.0000 0.0000 0.0000
Pd1 Pd 0.1992 0.6992 0.5000
Pd2 Pd 0.3443 0.0000 0.3443
Pd3 Pd 0.3464 0.3464 0.0000
Pd4 Pd 0.6536 0.6536 0.0000
Pd5 Pd 0.6557 0.0000 0.6557
Pd6 Pd 0.8008 0.3008 0.5000
Pt1 Pt 0.0000 0.0000 0.5000
Pt2 Pt 0.0000 0.5000 0.0000
Pt3 Pt 0.2276 0.5000 0.7276
Pt4 Pt 0.5000 0.0000 0.0000
Pt5 Pt 0.5000 0.5000 0.5000
Pt6 Pt 0.7724 0.5000 0.2724
```

Summary:
N(E_F): 15.31 states/eV per cell
energy relative to the elements: -0.3015 eV/atom
DFT total energy: -5.84 eV per atom


No. 11
Here is a relaxed structure of In2Te2S from Alexandria via LeMat-Bulk. Energies are from GGA-PBE.

The structure in CIF format:
```
data_In2Te2S
_chemical_formula_sum 'In4 Te4 S2'
_symmetry_space_group_name_H-M 'P 1'
_symmetry_Int_Tables_number 1
_cell_length_a 7.4814
_cell_length_b 7.4814
_cell_length_c 5.3999
_cell_angle_alpha 90.00
_cell_angle_beta 90.00
_cell_angle_gamma 90.00
loop_
_symmetry_equiv_pos_as_xyz
'x,y,z'
loop_
_atom_site_label
_atom_site_type_symbol
_atom_site_fract_x
_atom_site_fract_y
_atom_site_fract_z
In1 In 0.2107 0.2893 0.0000
In2 In 0.2893 0.7893 0.0000
In3 In 0.7107 0.2107 0.0000
In4 In 0.7893 0.7107 0.0000
Te1 Te 0.1330 0.6330 0.5000
Te2 Te 0.3670 0.1330 0.5000
Te3 Te 0.6330 0.8670 0.5000
Te4 Te 0.8670 0.3670 0.5000
S1 S 0.0000 0.0000 0.0000
S2 S 0.5000 0.5000 0.0000
```

Summary:
energy relative to the elements, uncorrected: 0.03 eV per atom
N(E_F): 5.35 states/eV per cell
DFT total energy: -3.15 eV per atom


No. 12
Here is a relaxed structure of BeSnOs from Alexandria via LeMat-Bulk. Energies are from GGA-PBE.

The structure in CIF format:
```
data_BeSnOs
_chemical_formula_sum 'Be2 Sn2 Os2'
_symmetry_space_group_name_H-M 'P 1'
_symmetry_Int_Tables_number 1
_cell_length_a 6.0290
_cell_length_b 4.8123
_cell_length_c 5.0138
_cell_angle_alpha 75.66
_cell_angle_beta 50.66
_cell_angle_gamma 53.68
loop_
_symmetry_equiv_pos_as_xyz
'x,y,z'
loop_
_atom_site_label
_atom_site_type_symbol
_atom_site_fract_x
_atom_site_fract_y
_atom_site_fract_z
Be1 Be 0.0000 0.0000 0.0000
Be2 Be 0.2500 0.2500 0.2500
Sn1 Sn 0.3468 0.3468 0.6532
Sn2 Sn 0.5968 0.5968 0.9032
Os1 Os 0.7039 0.7039 0.2961
Os2 Os 0.9539 0.9539 0.5461
```

Summary:
energy relative to the elements: 0.1211 eV/atom
DFT total energy: -6.20 eV per atom